(1)
First-principles (GGA-PBE) data for a relaxed structure of Al6Ga2Ni, as listed in Alexandria.

a = 6.7987 Å, b = 6.7987 Å, c = 3.6433 Å
α = 90.00°, β = 90.00°, γ = 120.00°
Last column: nearest neighbours and their distance in Å.
Sites, in units of the cell vectors:
Al 0.0000 0.2476 0.0000  2 Ni 2.48, 2 Ga 2.61
Al 0.0000 0.6302 0.5000  1 Ni 2.51
Al 0.2476 0.0000 0.0000  2 Ni 2.48, 2 Ga 2.61
Al 0.3698 0.3698 0.5000  1 Ni 2.51
Al 0.6302 0.0000 0.5000  1 Ni 2.51
Al 0.7524 0.7524 0.0000  2 Ni 2.48, 2 Ga 2.61
Ga 0.3333 0.6667 0.0000  9 Al 2.61-2.82
Ga 0.6667 0.3333 0.0000  9 Al 2.61-2.82
Ni 0.0000 0.0000 0.5000  9 Al 2.48-2.51

Summary:
- uncorrected energy (eV/atom) = -3.98
- relative energy among the computed polymorphs (meV/atom) = 0.0
- ΔE_f (eV/atom) = -0.17

(2)
First-principles (GGA-PBE) data for a relaxed structure of Al2Ga2Ni, as listed in Alexandria.

a = 6.3325 Å, b = 6.3325 Å, c = 3.9637 Å
α = 90.00°, β = 90.00°, γ = 90.00°
Last column: nearest neighbours and their distance in Å.
Sites, in units of the cell vectors:
Al 0.1641 0.3359 0.0000  6 Ga 2.60-2.80
Al 0.3359 0.8359 0.0000  6 Ga 2.60-2.80
Al 0.6641 0.1641 0.0000  6 Ga 2.60-2.80
Al 0.8359 0.6641 0.0000  6 Ga 2.60-2.80
Ga 0.1471 0.6471 0.5000  2 Ni 2.42, 2 Al 2.60, 1 Ga 2.64
Ga 0.3529 0.1471 0.5000  2 Ni 2.42, 2 Al 2.60, 1 Ga 2.64
Ga 0.6471 0.8529 0.5000  2 Ni 2.42, 2 Al 2.60, 1 Ga 2.64
Ga 0.8529 0.3529 0.5000  2 Ni 2.42, 2 Al 2.60, 1 Ga 2.64
Ni 0.0000 0.0000 0.5000  4 Ga 2.42
Ni 0.5000 0.5000 0.5000  4 Ga 2.42

Summary:
- uncorrected energy (eV/atom) = -3.86
- relative energy among the computed polymorphs (meV/atom) = 0.0
- ΔE_f (eV/atom) = 0.00

(3)
First-principles (GGA-PBE) data for a relaxed structure of AlGa4Ni5, as listed in Alexandria.

a = 2.9262 Å, b = 2.9262 Å, c = 14.4030 Å
α = 90.00°, β = 90.00°, γ = 90.00°
Last column: nearest neighbours and their distance in Å.
Sites, in units of the cell vectors:
Al 0.0000 0.0000 0.0000  8 Ni 2.51
Ga 0.0000 0.0000 0.1984  8 Ni 2.52-2.53
Ga 0.0000 0.0000 0.3997  8 Ni 2.52-2.53
Ga 0.0000 0.0000 0.6003  8 Ni 2.52-2.53
Ga 0.0000 0.0000 0.8016  8 Ni 2.52-2.53
Ni 0.5000 0.5000 0.0985  4 Al 2.51, 4 Ga 2.52
Ni 0.5000 0.5000 0.2991  8 Ga 2.53
Ni 0.5000 0.5000 0.5000  8 Ga 2.52
Ni 0.5000 0.5000 0.7009  8 Ga 2.53
Ni 0.5000 0.5000 0.9015  4 Al 2.51, 4 Ga 2.52

Summary:
- uncorrected energy (eV/atom) = -4.90
- ΔE_f (eV/atom) = -0.43

(4)
First-principles (GGA-PBE) data for a relaxed structure of AlGa2Ni, as listed in Alexandria.

a = 6.0248 Å, b = 6.0248 Å, c = 6.0248 Å
α = 98.41°, β = 98.41°, γ = 135.02°
Last column: nearest neighbours and their distance in Å.
Sites, in units of the cell vectors:
Al 0.0000 0.0000 0.0000  2 Ni 2.30
Al 0.7500 0.2500 0.5000  2 Ni 2.30
Ga 0.2179 0.6250 0.0929  2 Ni 2.39
Ga 0.3750 0.4679 0.5929  2 Ni 2.39
Ga 0.5321 0.1250 0.9071  2 Ni 2.39
Ga 0.8750 0.7821 0.4071  2 Ni 2.39
Ni 0.2500 0.7500 0.5000  2 Al 2.30, 4 Ga 2.39
Ni 0.5000 0.5000 0.0000  2 Al 2.30, 4 Ga 2.39

Summary:
- uncorrected energy (eV/atom) = -3.91
- ΔE_f (eV/atom) = -0.01